(1)
PaHg4 after structural relaxation. Source: the Alexandria database, functional PBE.

Properties
ΔE to the lowest computed polymorph = 0 meV/atom
Mass density = 12.59 g/cm3
Space-group type = Fmmm (69)
Calculated formation energy = 1.62 eV per formula unit
DFT total energy = -9.09 eV for the cell shown
Volume = 136.35 Å³ per cell

```
5
Lattice="5.696 0.000 1.479 -3.588 4.506 -3.588 1.479 0.000 5.696" Properties=species:S:1:pos:R:3 pbc="T T T"
Pa 0.000 0.000 0.000
Hg 2.848 2.253 0.740
Hg 3.588 1.394 3.588
Hg 0.740 2.253 2.848
Hg 0.000 3.112 0.000
```

---

(2)
LaAlPt2 after structural relaxation. Source: the Alexandria database, functional PBE.

Properties
Mass density = 10.99 g/cm3
Space-group type = Pnma (62)
Calculated formation energy = -4.63 eV per formula unit
DFT total energy = -101.53 eV for the cell shown
Volume = 335.95 Å³ per cell

```
16
Lattice="-0.580 0.843 -4.149 -0.886 -7.169 -1.332 -10.524 0.990 1.673" Properties=species:S:1:pos:R:3 pbc="T T T"
Pt -3.685 -2.130 -1.018
Pt -6.740 -4.857 -1.144
Pt -2.963 -5.824 -1.869
Pt -1.708 -4.440 -3.964
Pt -5.250 -0.480 -2.665
Pt -10.282 -0.897 0.155
Pt -9.027 0.487 -1.940
Pt -8.305 -3.207 -2.791
La -2.066 -0.358 -3.085
La -7.201 -1.608 -0.420
La -4.789 -3.729 -3.389
La -9.924 -4.979 -0.723
Al -10.312 -1.826 -2.230
Al -4.375 0.369 -0.414
Al -1.678 -3.511 -1.579
Al -7.615 -5.706 -3.395
```

---

(3)
YInPCl2 after structural relaxation. Source: the Alexandria database, functional PBE.

Properties
ΔE to the lowest computed polymorph = 645 meV/atom
Mass density = 3.43 g/cm3
Space-group type = P4/mmm (123)
DFT total energy = -19.90 eV for the cell shown
Volume = 147.96 Å³ per cell
ΔE_f (raw) = -0.320 eV/atom

```
5
Lattice="-4.515 2.023 -1.017 0.861 -0.563 -4.945 -2.404 -5.275 0.182" Properties=species:S:1:pos:R:3 pbc="T T T"
In 0.000 0.000 0.000
Cl 0.431 -0.282 -2.473
Cl -2.258 1.012 -0.508
P -1.202 -2.637 0.091
Y -3.029 -1.907 -2.890
```

---

Question: Among the records above, which one has the highest mass density?
Answer: PaHg4